No. 1
This record from the Alexandria database describes an optimized crystal structure of Se2SCl4. The functional is PBE.

Cell: 9.078 9.078 9.078 Å, 149.75 149.75 43.30°
Positions (direct):
1 Se 0.172 0.172 0.000
2 Se 0.828 0.828 0.000
3 S 0.500 0.500 0.000
4 Cl 0.000 0.500 0.500
5 Cl 0.297 0.297 0.000
6 Cl 0.500 0.000 0.500
7 Cl 0.703 0.703 0.000

Computed properties:
- ΔE_f (raw) (eV per atom) = 0.22
- total energy (eV/atom) = -2.423
- space group = I4/mmm (139)
- spin magnetization (μB per formula unit) = 0.0



No. 2
This record from the Alexandria database describes an optimized crystal structure of Se3SCl. The functional is PBE.

Cell: 4.898 4.898 4.898 Å, 90.00 90.00 90.00°
Positions (direct):
1 Se 0.000 0.000 0.500
2 Se 0.000 0.500 0.000
3 Se 0.500 0.000 0.000
4 S 0.000 0.000 0.000
5 Cl 0.500 0.500 0.500

Computed properties:
- ΔE_f (raw) (eV per atom) = 0.70
- total energy (eV/atom) = -2.584
- space group = Pm-3m (221)
- spin magnetization (μB per formula unit) = 0.0



No. 3
This record from the Alexandria database describes an optimized crystal structure of SeS2Cl. The functional is PBE.

Cell: 8.186 8.186 8.186 Å, 25.80 25.80 25.80°
Positions (direct):
1 Se 0.000 0.000 0.000
2 S 0.398 0.398 0.398
3 S 0.602 0.602 0.602
4 Cl 0.500 0.500 0.500

Computed properties:
- ΔE_f (raw) (eV per atom) = 0.34
- total energy (eV/atom) = -3.057
- space group = R-3m (166)
- spin magnetization (μB per formula unit) = 0.0